A plane-wave DFT calculation with PBE-GGA was carried out for PaCdInPd after structural relaxation.

VASP energy: -4.781 eV/atom
Symmetry: F-43m, No. 216
ΔE_f: -76 kJ/mol of formula units

abc: 4.976 4.976 4.976
angles: 60.00 60.00 60.00
Element x y z (fractional)
Pa 0.250 0.250 0.250
Cd 0.000 0.000 0.000
Pd 0.500 0.500 0.500
In 0.750 0.750 0.750


A plane-wave DFT calculation with PBE-GGA was carried out for PaCdInPt after structural relaxation.

VASP energy: -5.135 eV/atom
Symmetry: F-43m, No. 216
ΔE_f: -130 kJ/mol of formula units

abc: 4.970 4.970 4.970
angles: 60.00 60.00 60.00
Element x y z (fractional)
Pt 0.750 0.750 0.750
Cd 0.250 0.250 0.250
In 0.500 0.500 0.500
Pa 0.000 0.000 0.000